Entry 1:
The following is a PBE calculation of TbNd2Ni after structural relaxation, from Alexandria.

a b c (Å): 6.4105 6.9974 9.9844
angles (deg): 90.00 90.00 90.00
Last column: nearest neighbours and their distance in Å.
Atoms (fractional coordinates):
Tb (0.6506, 0.5357, 0.2500)  2 Ni 2.78-2.80
Tb (0.8494, 0.0357, 0.2500)  2 Ni 2.78-2.80
Tb (0.3494, 0.4643, 0.7500)  2 Ni 2.78-2.80
Tb (0.1506, 0.9643, 0.7500)  2 Ni 2.78-2.80
Nd (0.1753, 0.6785, 0.0667)  2 Ni 2.85-2.90
Nd (0.3247, 0.1785, 0.4333)  2 Ni 2.85-2.90
Nd (0.8247, 0.3215, 0.5667)  2 Ni 2.85-2.90
Nd (0.6753, 0.8215, 0.9333)  2 Ni 2.85-2.90
Nd (0.8247, 0.3215, 0.9333)  2 Ni 2.85-2.90
Nd (0.6753, 0.8215, 0.5667)  2 Ni 2.85-2.90
Nd (0.1753, 0.6785, 0.4333)  2 Ni 2.85-2.90
Nd (0.3247, 0.1785, 0.0667)  2 Ni 2.85-2.90
Ni (0.0562, 0.3854, 0.2500)  2 Tb 2.78-2.80, 4 Nd 2.85-2.90
Ni (0.4438, 0.8854, 0.2500)  2 Tb 2.78-2.80, 4 Nd 2.85-2.90
Ni (0.9438, 0.6146, 0.7500)  2 Tb 2.78-2.80, 4 Nd 2.85-2.90
Ni (0.5562, 0.1146, 0.7500)  2 Tb 2.78-2.80, 4 Nd 2.85-2.90

Values from the calculation:
Offset from the most stable computed form = 0.00 eV/f.u.
Calculated volume = 448 Å³ per cell
ΔE_f = -0.1879 eV/atom

---

Entry 2:
The following is a PBE calculation of Dy2MgU2Ru5 after structural relaxation, from Alexandria.

a b c (Å): 3.2988 10.8370 10.8370
angles (deg): 90.00 90.00 90.00
Last column: nearest neighbours and their distance in Å.
Atoms (fractional coordinates):
Dy (0.0000, 0.6604, 0.1604)  1 U 2.87, 6 Ru 2.96-3.21
Dy (0.0000, 0.3396, 0.8396)  1 U 2.87, 6 Ru 2.96-3.21
Dy (0.0000, 0.1604, 0.3396)  1 U 2.87, 6 Ru 2.96-3.21
Dy (0.0000, 0.8396, 0.6604)  1 U 2.87, 6 Ru 2.96-3.21
Mg (0.0000, 0.0000, 0.0000)  8 Ru 2.83
Mg (0.0000, 0.5000, 0.5000)  8 Ru 2.83
U (0.0000, 0.1523, 0.6523)  4 Ru 2.50
U (0.0000, 0.8477, 0.3477)  4 Ru 2.50
U (0.0000, 0.6523, 0.8477)  4 Ru 2.50
U (0.0000, 0.3477, 0.1523)  4 Ru 2.50
Ru (0.5000, 0.2047, 0.0546)  2 U 2.50
Ru (0.5000, 0.7953, 0.9454)  2 U 2.50
Ru (0.5000, 0.0546, 0.7953)  2 U 2.50
Ru (0.5000, 0.7047, 0.4454)  2 U 2.50
Ru (0.5000, 0.9454, 0.2047)  2 U 2.50
Ru (0.5000, 0.2953, 0.5546)  2 U 2.50
Ru (0.5000, 0.5546, 0.7047)  2 U 2.50
Ru (0.5000, 0.4454, 0.2953)  2 U 2.50
Ru (0.5000, 0.5000, 0.0000)  4 U 2.86, 4 Dy 2.96
Ru (0.5000, 0.0000, 0.5000)  4 U 2.86, 4 Dy 2.96

Values from the calculation:
Calculated volume = 387 Å³ per cell
ΔE_f = -0.1802 eV/atom

---

Entry 3:
The following is a PBE calculation of NaGa2Au8 after structural relaxation, from Alexandria.

a b c (Å): 5.1157 6.1639 7.7581
angles (deg): 107.33 105.61 105.83
Last column: nearest neighbours and their distance in Å.
Atoms (fractional coordinates):
Na (0.1779, 0.9809, 0.9200)  12 Au 2.93-3.27
Ga (0.6229, 0.5666, 0.2109)  7 Au 2.60-2.79
Ga (0.5175, 0.2161, 0.6143)  8 Au 2.61-2.78
Au (0.8305, 0.3267, 0.9786)  2 Ga 2.61-2.62, 3 Au 2.83-2.89
Au (0.9147, 0.0275, 0.5098)  3 Ga 2.75-2.78, 5 Au 2.84-3.07
Au (0.2535, 0.3405, 0.3335)  2 Ga 2.60-2.67, 1 Au 2.79
Au (0.7298, 0.9314, 0.0989)  1 Ga 2.62, 5 Au 2.79-2.91, 1 Na 2.93
Au (0.2422, 0.8026, 0.2769)  3 Ga 2.72-2.93, 3 Au 2.89-3.04
Au (0.8911, 0.5259, 0.5350)  2 Ga 2.64-2.65, 3 Au 2.87-2.94
Au (0.2948, 0.4704, 0.8415)  2 Ga 2.69-2.70, 5 Au 2.79-2.89
Au (0.5251, 0.8113, 0.6806)  1 Ga 2.70, 6 Au 2.89-2.97

Values from the calculation:
Offset from the most stable computed form = 0.00 eV/f.u.
Calculated volume = 208 Å³ per cell
ΔE_f = -0.1601 eV/atom

---

Entry 4:
The following is a PBE calculation of BeAlTlPt2 after structural relaxation, from Alexandria.

a b c (Å): 4.7104 4.4047 4.7104
angles (deg): 90.00 90.00 90.00
Last column: nearest neighbours and their distance in Å.
Atoms (fractional coordinates):
Be (0.0000, 0.5000, 0.0000)  2 Al 2.20
Tl (0.5000, 0.5000, 0.5000)  8 Pt 3.22, 4 Be 3.33
Al (0.0000, 0.0000, 0.0000)  2 Be 2.20, 4 Pt 2.36
Pt (0.0000, 0.0000, 0.5000)  2 Al 2.36
Pt (0.5000, 0.0000, 0.0000)  2 Al 2.36

Values from the calculation:
Calculated volume = 98 Å³ per cell
ΔE_f = 0.4362 eV/atom

---

Entry 5:
The following is a PBE calculation of LiLaRe2 after structural relaxation, from Alexandria.

a b c (Å): 2.7723 2.7723 10.1050
angles (deg): 90.00 90.00 113.80
Last column: nearest neighbours and their distance in Å.
Atoms (fractional coordinates):
La (0.5000, 0.5000, 0.2500)  6 La 2.77-3.03
Li (0.5000, 0.5000, 0.7500)  4 Re 2.75, 6 Li 2.77-3.03
Re (0.0000, 0.0000, 0.9776)  2 Li 2.75, 6 Re 2.77-3.03
Re (0.0000, 0.0000, 0.5224)  2 Li 2.75, 6 Re 2.77-3.03

Values from the calculation:
Offset from the most stable computed form = 2.00 eV/f.u.
Calculated volume = 71 Å³ per cell
ΔE_f = 0.7372 eV/atom

---

Entry 6:
The following is a PBE calculation of Rh after structural relaxation, from Alexandria.

a b c (Å): 2.7250 2.7250 4.4237
angles (deg): 90.00 90.00 120.00
Last column: nearest neighbours and their distance in Å.
Atoms (fractional coordinates):
Rh (0.6667, 0.3333, 0.7500)  12 Rh 2.71-2.73
Rh (0.3333, 0.6667, 0.2500)  12 Rh 2.71-2.73

Values from the calculation:
Offset from the most stable computed form = 0.05 eV/f.u.
Calculated volume = 28 Å³ per cell
ΔE_f = 0.0465 eV/atom

---

Entry 7:
The following is a PBE calculation of LaAgBrO2 after structural relaxation, from Alexandria.

a b c (Å): 4.3902 4.8314 4.3902
angles (deg): 90.00 90.00 90.00
Last column: nearest neighbours and their distance in Å.
Atoms (fractional coordinates):
O (0.0000, 0.0000, 0.5000)  2 Ag 2.20
O (0.5000, 0.0000, 0.0000)  2 Ag 2.20
Br (0.0000, 0.5000, 0.0000)  2 Ag 2.42
Ag (0.0000, 0.0000, 0.0000)  4 O 2.20, 2 Br 2.42
La (0.5000, 0.5000, 0.5000)  4 Br 3.10, 8 O 3.26

Values from the calculation:
Offset from the most stable computed form = 4.38 eV/f.u.
Calculated volume = 93 Å³ per cell
Formation energy from raw total energies = -0.826 eV/atom

---

Entry 8:
The following is a PBE calculation of PmPrCdAg after structural relaxation, from Alexandria.

a b c (Å): 5.3873 5.3873 5.3873
angles (deg): 60.00 60.00 60.00
Last column: nearest neighbours and their distance in Å.
Atoms (fractional coordinates):
Pr (0.0000, 0.0000, 0.0000)  4 Ag 3.30, 4 Cd 3.30
Cd (0.7500, 0.7500, 0.7500)  4 Pr 3.30, 4 Pm 3.30
Ag (0.2500, 0.2500, 0.2500)  4 Pm 3.30, 4 Pr 3.30
Pm (0.5000, 0.5000, 0.5000)  4 Cd 3.30, 4 Ag 3.30

Values from the calculation:
Offset from the most stable computed form = 0.05 eV/f.u.
Calculated volume = 111 Å³ per cell
ΔE_f = -0.2762 eV/atom

---

Entry 9:
The following is a PBE calculation of Cd4CuTe after structural relaxation, from Alexandria.

a b c (Å): 5.8503 5.8503 5.8503
angles (deg): 60.00 60.00 60.00
Last column: nearest neighbours and their distance in Å.
Atoms (fractional coordinates):
Cd (0.8738, 0.3754, 0.3754)  6 Cd 2.92-2.93
Cd (0.3754, 0.3754, 0.8738)  6 Cd 2.92-2.93
Cd (0.3754, 0.8738, 0.3754)  6 Cd 2.92-2.93
Cd (0.3754, 0.3754, 0.3754)  6 Cd 2.92-2.93
Cu (0.7500, 0.7500, 0.7500)  12 Cd 3.43, 4 Te 3.58
Te (0.0000, 0.0000, 0.0000)  12 Cd 3.43, 4 Cu 3.58

Values from the calculation:
Calculated volume = 142 Å³ per cell
Formation energy from raw total energies = 0.320 eV/atom

---

Entry 10:
The following is a PBE calculation of CsRb2SiTe after structural relaxation, from Alexandria.

a b c (Å): 6.9369 7.3642 6.9369
angles (deg): 90.00 90.00 90.00
Last column: nearest neighbours and their distance in Å.
Atoms (fractional coordinates):
Cs (0.0000, 0.5000, 0.0000)  2 Te 3.68
Si (0.5000, 0.5000, 0.5000)  4 Cs 4.91, 8 Rb 5.06
Te (0.0000, 0.0000, 0.0000)  4 Rb 3.47, 2 Cs 3.68
Rb (0.0000, 0.0000, 0.5000)  2 Te 3.47
Rb (0.5000, 0.0000, 0.0000)  2 Te 3.47

Values from the calculation:
Calculated volume = 354 Å³ per cell
Formation energy from raw total energies = -0.036 eV/atom

---

Entry 11:
The following is a PBE calculation of Ti2BeN after structural relaxation, from Alexandria.

a b c (Å): 5.8684 5.8684 5.0905
angles (deg): 54.80 54.80 90.00
Last column: nearest neighbours and their distance in Å.
Atoms (fractional coordinates):
Be (0.5000, 0.5000, 0.0000)  4 Ti 2.45
Be (0.2500, 0.7500, 0.5000)  4 Ti 2.45
N (0.0000, 0.0000, 0.0000)  4 Ti 1.98
N (0.7500, 0.2500, 0.5000)  4 Ti 1.98
Ti (0.6851, 0.1250, 0.2500)  2 N 1.98
Ti (0.0649, 0.6250, 0.2500)  2 N 1.98
Ti (0.3750, 0.3149, 0.7500)  2 N 1.98
Ti (0.8750, 0.9351, 0.7500)  2 N 1.98

Values from the calculation:
Offset from the most stable computed form = 2.11 eV/f.u.
Calculated volume = 102 Å³ per cell
Formation energy from raw total energies = -0.395 eV/atom

---

Entry 12:
The following is a PBE calculation of TbDy2O after structural relaxation, from Alexandria.

a b c (Å): 3.1904 3.1904 8.7119
angles (deg): 90.00 90.00 90.00
Last column: nearest neighbours and their distance in Å.
Atoms (fractional coordinates):
Tb (0.5000, 0.5000, 0.5000)  4 Tb 3.19
O (0.5000, 0.5000, 0.0000)  8 Dy 2.73
Dy (0.0000, 0.0000, 0.8243)  4 O 2.73
Dy (0.0000, 0.0000, 0.1757)  4 O 2.73

Values from the calculation:
Offset from the most stable computed form = 2.10 eV/f.u.
Calculated volume = 89 Å³ per cell
Formation energy from raw total energies = -0.820 eV/atom

---

Entry 13:
The following is a PBE calculation of LiAlAsBr2 after structural relaxation, from Alexandria.

a b c (Å): 4.8963 4.8963 5.1860
angles (deg): 90.00 90.00 90.00
Last column: nearest neighbours and their distance in Å.
Atoms (fractional coordinates):
As (0.0000, 0.0000, 0.5000)  2 Li 2.59
Al (0.5000, 0.5000, 0.5000)  4 As 3.46, 8 Br 3.57
Br (0.0000, 0.5000, 0.0000)  2 Li 2.45
Br (0.5000, 0.0000, 0.0000)  2 Li 2.45
Li (0.0000, 0.0000, 0.0000)  4 Br 2.45, 2 As 2.59

Values from the calculation:
Offset from the most stable computed form = 1.87 eV/f.u.
Calculated volume = 124 Å³ per cell
Formation energy from raw total energies = 0.056 eV/atom

---

Entry 14:
The following is a PBE calculation of Tc2PtCSe after structural relaxation, from Alexandria.

a b c (Å): 5.1820 4.6431 5.1820
angles (deg): 90.00 90.00 90.00
Last column: nearest neighbours and their distance in Å.
Atoms (fractional coordinates):
C (0.5000, 0.5000, 0.5000)  8 Tc 3.48, 4 Se 3.66
Se (0.0000, 0.5000, 0.0000)  2 Pt 2.32
Tc (0.0000, 0.0000, 0.5000)  2 Pt 2.59
Tc (0.5000, 0.0000, 0.0000)  2 Pt 2.59
Pt (0.0000, 0.0000, 0.0000)  2 Se 2.32, 4 Tc 2.59

Values from the calculation:
Offset from the most stable computed form = 5.56 eV/f.u.
Calculated volume = 125 Å³ per cell
Formation energy from raw total energies = 2.676 eV/atom

---

Entry 15:
The following is a PBE calculation of RuW3I after structural relaxation, from Alexandria.

a b c (Å): 4.7834 4.7834 4.7834
angles (deg): 90.00 90.00 90.00
Last column: nearest neighbours and their distance in Å.
Atoms (fractional coordinates):
I (0.5000, 0.5000, 0.5000)  12 W 3.38
Ru (0.0000, 0.0000, 0.0000)  6 W 2.39
W (0.0000, 0.5000, 0.0000)  2 Ru 2.39
W (0.0000, 0.0000, 0.5000)  2 Ru 2.39
W (0.5000, 0.0000, 0.0000)  2 Ru 2.39

Values from the calculation:
Offset from the most stable computed form = 0.00 eV/f.u.
Calculated volume = 109 Å³ per cell
Formation energy from raw total energies = 2.123 eV/atom

---

Entry 16:
The following is a PBE calculation of In2TeS after structural relaxation, from Alexandria.

a b c (Å): 4.2289 4.2289 7.3445
angles (deg): 73.27 73.27 60.00
Last column: nearest neighbours and their distance in Å.
Atoms (fractional coordinates):
S (0.0000, 0.0000, 0.0000)  6 In 2.89
Te (0.5000, 0.5000, 0.5000)  6 In 3.10
In (0.2587, 0.2587, 0.2239)  3 S 2.89, 3 Te 3.10
In (0.7413, 0.7413, 0.7761)  3 S 2.89, 3 Te 3.10

Values from the calculation:
Offset from the most stable computed form = 0.10 eV/f.u.
Calculated volume = 107 Å³ per cell
Formation energy from raw total energies = -0.306 eV/atom

---

Entry 17:
The following is a PBE calculation of TcNi2W after structural relaxation, from Alexandria.

a b c (Å): 4.6380 4.6380 4.6380
angles (deg): 133.10 133.12 68.48
Last column: nearest neighbours and their distance in Å.
Atoms (fractional coordinates):
Ni (0.0000, 0.0000, 0.0000)  4 Ni 2.61, 4 W 2.66, 4 Tc 2.66
Ni (0.5000, 0.5000, 0.0000)  4 Ni 2.61, 4 W 2.66, 4 Tc 2.66
Tc (0.7500, 0.2500, 0.5000)  4 W 2.61, 8 Ni 2.66
W (0.2500, 0.7500, 0.5000)  4 Tc 2.61, 8 Ni 2.66

Values from the calculation:
Offset from the most stable computed form = 0.12 eV/f.u.
Calculated volume = 52 Å³ per cell
ΔE_f = 0.0009 eV/atom

---

Entry 18:
The following is a PBE calculation of Hf2ZnHgMo after structural relaxation, from Alexandria.

a b c (Å): 4.9066 4.5944 4.9066
angles (deg): 90.00 90.00 90.00
Last column: nearest neighbours and their distance in Å.
Atoms (fractional coordinates):
Zn (0.0000, 0.0000, 0.0000)  2 Hg 2.30, 4 Hf 2.45
Mo (0.5000, 0.5000, 0.5000)  8 Hf 3.36, 4 Hg 3.47
Hf (0.0000, 0.0000, 0.5000)  2 Zn 2.45
Hf (0.5000, 0.0000, 0.0000)  2 Zn 2.45
Hg (0.0000, 0.5000, 0.0000)  2 Zn 2.30

Values from the calculation:
Calculated volume = 111 Å³ per cell
ΔE_f = 1.1201 eV/atom

---

Entry 19:
The following is a PBE calculation of YHf3Te after structural relaxation, from Alexandria.

a b c (Å): 5.2287 5.2287 5.2287
angles (deg): 90.00 90.00 90.00
Last column: nearest neighbours and their distance in Å.
Atoms (fractional coordinates):
Y (0.0000, 0.0000, 0.0000)  6 Hf 2.61
Te (0.5000, 0.5000, 0.5000)  12 Hf 3.70
Hf (0.0000, 0.5000, 0.0000)  2 Y 2.61
Hf (0.0000, 0.0000, 0.5000)  2 Y 2.61
Hf (0.5000, 0.0000, 0.0000)  2 Y 2.61

Values from the calculation:
Offset from the most stable computed form = 4.78 eV/f.u.
Calculated volume = 143 Å³ per cell
Formation energy from raw total energies = 1.472 eV/atom

---

Entry 20:
The following is a PBE calculation of AcNbTcO6 after structural relaxation, from Alexandria.

a b c (Å): 5.3640 5.3640 10.7667
angles (deg): 90.00 90.00 120.00
Last column: nearest neighbours and their distance in Å.
Atoms (fractional coordinates):
Ac (0.0000, 0.0000, 0.0000)  6 O 2.54
Ac (0.0000, 0.0000, 0.5000)  6 O 2.54
Nb (0.6667, 0.3333, 0.2500)  6 O 2.02
Nb (0.3333, 0.6667, 0.7500)  6 O 2.02
Tc (0.3333, 0.6667, 0.2500)  6 O 2.04
Tc (0.6667, 0.3333, 0.7500)  6 O 2.04
O (0.6288, 0.6268, 0.1457)  1 Nb 2.02, 1 Tc 2.04
O (0.9980, 0.3712, 0.1457)  1 Nb 2.02, 1 Tc 2.04
O (0.3712, 0.9980, 0.6457)  1 Nb 2.02, 1 Tc 2.04
O (0.0020, 0.6288, 0.8543)  1 Nb 2.02, 1 Tc 2.04
O (0.3732, 0.3712, 0.3543)  1 Nb 2.02, 1 Tc 2.04
O (0.9980, 0.6268, 0.3543)  1 Nb 2.02, 1 Tc 2.04
O (0.6268, 0.9980, 0.8543)  1 Nb 2.02, 1 Tc 2.04
O (0.6288, 0.0020, 0.3543)  1 Nb 2.02, 1 Tc 2.04
O (0.0020, 0.3732, 0.6457)  1 Nb 2.02, 1 Tc 2.04
O (0.3732, 0.0020, 0.1457)  1 Nb 2.02, 1 Tc 2.04
O (0.6268, 0.6288, 0.6457)  1 Nb 2.02, 1 Tc 2.04
O (0.3712, 0.3732, 0.8543)  1 Nb 2.02, 1 Tc 2.04

Values from the calculation:
Calculated volume = 268 Å³ per cell
Formation energy from raw total energies = -2.451 eV/atom